No. 1
The following is a DFT calculation (PBE) of an optimized crystal structure of TiPt.

POSCAR file:
```
TiPt
1.0
7.021 0.000 0.000
0.000 7.021 0.000
0.000 0.000 7.021
Ti Pt
6 6
Cartesian
0.000 1.755 3.510
0.000 5.265 3.510
1.755 3.510 0.000
3.510 0.000 1.755
3.510 0.000 5.265
5.265 3.510 0.000
0.000 3.510 1.755
0.000 3.510 5.265
1.755 0.000 3.510
3.510 1.755 0.000
3.510 5.265 0.000
5.265 0.000 3.510
```

Properties
Crystal system: cubic
ΔE_f: 0.175 eV/atom
Symmetry: Pm-3n (223)
Volume: 346.0 Å³ per cell

=====

No. 2
The following is a DFT calculation (PBE) of an optimized crystal structure of Ti3Pt.

POSCAR file:
```
Ti3Pt
1.0
5.039 0.000 0.000
0.000 5.039 0.000
0.000 0.000 5.039
Ti Pt
6 2
Cartesian
0.000 1.260 2.519
0.000 3.779 2.519
1.260 2.519 0.000
2.519 0.000 1.260
2.519 0.000 3.779
3.779 2.519 0.000
0.000 0.000 0.000
2.519 2.519 2.519
```

Properties
Crystal system: cubic
ΔE_f: -0.654 eV/atom
Symmetry: Pm-3n (223)
Volume: 127.9 Å³ per cell

=====

No. 3
The following is a DFT calculation (PBE) of an optimized crystal structure of Ti3Pt4.

POSCAR file:
```
Ti3Pt4
1.0
5.968 3.446 1.812
-5.968 3.446 1.812
0.000 -6.891 1.812
Ti Pt
6 8
Cartesian
-3.599 -2.971 2.457
-4.372 1.631 2.978
0.773 -4.602 2.978
-0.773 4.602 2.457
4.372 -1.631 2.457
3.599 2.971 2.978
0.000 0.000 0.000
-0.943 -2.736 1.636
-1.898 2.184 1.636
-2.841 -0.551 3.799
0.000 0.000 2.717
2.841 0.551 1.636
1.898 -2.184 3.799
0.943 2.736 3.799
```

Properties
Crystal system: trigonal
ΔE_f: -0.896 eV/atom
Symmetry: R-3 (148)
Volume: 223.5 Å³ per cell

=====

No. 4
The following is a DFT calculation (PBE) of an optimized crystal structure of Ti5Pt.

POSCAR file:
```
Ti5Pt
1.0
2.175 -6.843 0.000
2.175 6.843 0.000
0.000 0.000 3.326
Ti Pt
5 1
Cartesian
0.000 0.000 0.000
2.175 4.421 1.663
2.175 2.161 0.000
2.175 -2.161 0.000
2.175 -4.421 1.663
2.175 0.000 1.663
```

Properties
Crystal system: orthorhombic
ΔE_f: -0.351 eV/atom
Symmetry: Cmmm (65)
Volume: 99.0 Å³ per cell

=====

No. 5
The following is a DFT calculation (PBE) of an optimized crystal structure of TiPt.

POSCAR file:
```
TiPt
1.0
7.305 0.000 0.000
-3.653 6.327 0.000
0.000 0.000 4.746
Ti Pt
6 6
Cartesian
-0.999 2.809 1.186
-0.720 5.787 1.186
1.933 2.270 3.559
1.719 4.057 1.186
4.373 0.539 3.559
4.652 3.517 3.559
-0.700 1.734 3.559
-1.801 6.066 3.559
1.151 1.473 1.186
2.501 4.854 3.559
5.454 0.261 1.186
4.353 4.593 1.186
```

Properties
Crystal system: hexagonal
ΔE_f: -0.475 eV/atom
Symmetry: P6_3/m (176)
Volume: 219.3 Å³ per cell

=====

No. 6
The following is a DFT calculation (PBE) of an optimized crystal structure of TiPt.

POSCAR file:
```
TiPt
1.0
13.779 0.000 0.000
0.000 2.816 0.000
0.000 0.000 4.826
Ti Pt
6 6
Cartesian
1.184 0.000 0.872
3.445 0.000 2.689
5.705 0.000 0.872
8.074 0.000 3.954
10.334 0.000 2.137
12.594 0.000 3.954
1.131 1.408 3.285
3.445 1.408 0.229
5.758 1.408 3.285
8.021 1.408 1.541
10.334 1.408 4.596
12.647 1.408 1.541
```

Properties
Crystal system: orthorhombic
ΔE_f: -0.920 eV/atom
Symmetry: Pmma (51)
Volume: 187.3 Å³ per cell

=====

No. 7
The following is a DFT calculation (PBE) of an optimized crystal structure of TiPt.

POSCAR file:
```
TiPt
1.0
-3.933 3.933 3.933
3.933 -3.933 3.933
3.933 3.933 -3.933
Ti Pt
4 4
Cartesian
2.841 2.841 -2.841
2.841 -2.841 2.841
1.092 1.092 1.092
-2.841 2.841 2.841
1.363 1.363 -1.363
1.363 -1.363 1.363
-1.363 1.363 1.363
2.571 2.571 2.571
```

Properties
Crystal system: cubic
ΔE_f: 0.170 eV/atom
Symmetry: I-43m (217)
Volume: 243.4 Å³ per cell

=====

No. 8
The following is a DFT calculation (PBE) of an optimized crystal structure of TiPt.

POSCAR file:
```
TiPt
1.0
4.369 0.000 0.000
-2.184 3.783 0.000
0.000 0.000 5.160
Ti Pt
2 2
Cartesian
0.000 2.522 1.290
2.184 1.261 3.870
0.000 2.522 3.870
2.184 1.261 1.290
```

Properties
Crystal system: hexagonal
ΔE_f: -0.304 eV/atom
Symmetry: P6_3/mmc (194)
Volume: 85.3 Å³ per cell

=====

No. 9
The following is a DFT calculation (PBE) of an optimized crystal structure of TiPt.

POSCAR file:
```
TiPt
1.0
0.000 2.848 2.848
2.848 0.000 2.848
2.848 2.848 0.000
Ti Pt
1 1
Cartesian
0.000 0.000 0.000
4.272 4.272 4.272
```

Properties
Crystal system: cubic
ΔE_f: -0.116 eV/atom
Symmetry: F-43m (216)
Volume: 46.2 Å³ per cell

=====

No. 10
The following is a DFT calculation (PBE) of an optimized crystal structure of Ti3Pt.

POSCAR file:
```
Ti3Pt
1.0
-1.440 4.633 2.487
1.440 -4.633 2.487
1.440 4.633 -2.487
Ti Pt
3 1
Cartesian
0.000 0.000 0.000
1.440 2.522 0.531
0.000 2.111 3.018
1.440 0.000 2.245
```

Properties
Crystal system: orthorhombic
ΔE_f: -0.458 eV/atom
Symmetry: Imm2 (44)
Volume: 66.3 Å³ per cell

=====

No. 11
The following is a DFT calculation (PBE) of an optimized crystal structure of Ti2Pt.

POSCAR file:
```
Ti2Pt
1.0
5.628 0.000 0.000
0.000 5.628 0.000
0.000 0.000 4.059
Ti Pt
4 2
Cartesian
1.075 1.075 0.000
1.739 3.889 2.030
3.889 1.739 2.030
4.553 4.553 0.000
0.000 0.000 2.030
2.814 2.814 0.000
```

Properties
Crystal system: tetragonal
ΔE_f: -0.004 eV/atom
Symmetry: P4_2/mnm (136)
Volume: 128.6 Å³ per cell

=====

No. 12
The following is a DFT calculation (PBE) of an optimized crystal structure of TiPt.

POSCAR file:
```
TiPt
1.0
5.009 0.000 0.000
0.000 5.140 0.000
0.000 0.000 10.344
Ti Pt
8 8
Cartesian
0.754 0.416 5.040
0.787 3.118 7.212
1.718 2.022 2.040
1.751 4.724 10.212
3.258 2.154 5.304
3.291 4.592 3.132
4.222 0.548 8.304
4.256 2.986 0.132
0.852 2.974 4.674
0.853 4.578 2.404
1.652 0.562 7.575
1.652 2.166 9.846
3.357 3.132 7.940
3.357 4.736 5.670
4.157 0.404 0.498
4.157 2.008 2.768
```

Properties
Crystal system: orthorhombic
ΔE_f: -0.838 eV/atom
Symmetry: P2_12_12_1 (19)
Volume: 266.3 Å³ per cell

=====

Among the records above, which one has the lowest volume? number 9

=====

The lowest ΔE_f belongs to which entry? number 6

=====

What is the ΔE_f in the seventh record? 0.170 eV/atom

=====

The highest volume belongs to which entry? number 1